[1]
SrY3Ir after structural relaxation, computed with PBE-GGA.

The structure in POSCAR format:
```
SrY3Ir
1.0
0.0000 7.3829 7.3829
7.3829 0.0000 7.3829
7.3829 7.3829 0.0000
Y Ir Sr
12 4 4
Direct
0.3181 0.3181 0.6819 Y
0.9319 0.9319 0.5681 Y
0.5681 0.9319 0.5681 Y
0.5681 0.5681 0.9319 Y
0.6819 0.3181 0.6819 Y
0.5681 0.9319 0.9319 Y
0.9319 0.5681 0.9319 Y
0.3181 0.6819 0.6819 Y
0.6819 0.3181 0.3181 Y
0.9319 0.5681 0.5681 Y
0.6819 0.6819 0.3181 Y
0.3181 0.6819 0.3181 Y
0.6250 0.6250 0.6250 Ir
0.6250 0.1250 0.6250 Ir
0.6250 0.6250 0.1250 Ir
0.1250 0.6250 0.6250 Ir
0.1250 0.1250 0.6250 Sr
0.6250 0.1250 0.1250 Sr
0.1250 0.6250 0.1250 Sr
0.1250 0.1250 0.1250 Sr
```

Calculated values
ΔE to the lowest computed polymorph (kJ per mole of atoms): 23.2
E_form (eV/atom): -0.13
Final energy (eV/atom): -6.1171


[2]
Cd2CoPb after structural relaxation, computed with PBE-GGA.

The structure in POSCAR format:
```
Cd2CoPb
1.0
4.6338 0.0000 0.0000
0.0000 3.5989 0.0259
0.0000 2.1402 5.2164
Cd Co Pb
2 1 1
Direct
0.0000 0.1140 0.0327 Cd
0.0000 0.3860 0.4673 Cd
0.5000 0.2500 0.2500 Co
0.5000 0.7500 0.7500 Pb
```

Calculated values
E_form (eV/atom): 0.37
Final energy (eV/atom): -2.7932